LiGaHRu2 | PBE | relaxed

Computed properties:
Volume, Å³/cell: 54.9
Density of states at the Fermi level, states/eV/atom: 0.836
Electronic total energy, eV/atom: -5.44

a = 4.0392 Å, b = 4.0392 Å, c = 3.3626 Å
α = 90.00°, β = 90.00°, γ = 90.00°
Closest atoms and distances in Å follow each position.
Space group P4/mmm (No. 123)
One atom of each set of equivalent atoms:
Li 0.0000 0.0000 0.0000 (multiplicity 1)  2 H 1.68
Ga 0.5000 0.5000 0.0000 (multiplicity 1)  8 Ru 2.63, 4 Li 2.86
H 0.0000 0.0000 0.5000 (multiplicity 1)  2 Li 1.68
Ru 0.0000 0.5000 0.5000 (multiplicity 2)  2 H 2.02

Cs2NpSbS4 | PBE | relaxed

Computed properties:
Volume, Å³/cell: 612.7
Density of states at the Fermi level, states/eV/atom: 1.383
Electronic total energy, eV/atom: -5.24

a = 7.8855 Å, b = 7.8855 Å, c = 9.8530 Å
α = 90.00°, β = 90.00°, γ = 90.00°
Closest atoms and distances in Å follow each position.
Space group I-4 (No. 82)
One atom of each set of equivalent atoms:
Cs 0.0000 0.0000 0.0000 (multiplicity 2)  4 S 3.51
Cs 0.0000 0.5000 0.2500 (multiplicity 2)  4 S 3.59
Np 0.0000 0.5000 0.7500 (multiplicity 2)  4 S 2.64
Sb 0.0000 0.0000 0.5000 (multiplicity 2)  4 S 2.65
S 0.1591 0.2549 0.6197 (multiplicity 8)  1 Np 2.64, 1 Sb 2.65

PtBrCl2 | PBE | relaxed

Computed properties:
Volume, Å³/cell: 95.4
Density of states at the Fermi level, states/eV/atom: 1.125
Distance to the lowest polymorph of the same formula, kcal/mol of atoms: 19.79

a = 3.2324 Å, b = 3.2324 Å, c = 9.1341 Å
α = 90.00°, β = 90.00°, γ = 90.00°
Closest atoms and distances in Å follow each position.
Space group P4mm (No. 99)
One atom of each set of equivalent atoms:
Pt 0.0000 0.0000 0.0000 (multiplicity 1)  4 Cl 2.78, 4 Br 2.80
Br 0.5000 0.5000 0.1768 (multiplicity 1)  4 Pt 2.80
Cl 0.0000 0.0000 0.4761 (multiplicity 1)  4 Cl 3.23, 4 Br 3.56
Cl 0.5000 0.5000 0.8270 (multiplicity 1)  4 Pt 2.78

Sc5Sb3N | PBE | relaxed

Computed properties:
Volume, Å³/cell: 362.8
Density of states at the Fermi level, states/eV/atom: 0.739
Electronic total energy, eV/atom: -6.91

a = 8.4046 Å, b = 8.4046 Å, c = 5.9303 Å
α = 90.00°, β = 90.00°, γ = 120.00°
Closest atoms and distances in Å follow each position.
Space group P6_3/mcm (No. 193)
One atom of each set of equivalent atoms:
Sc 0.0000 0.2097 0.2500 (multiplicity 6)  2 N 2.30
Sc 0.3333 0.6667 0.0000 (multiplicity 4)  6 Sb 2.96, 2 Sc 2.97
Sb 0.0000 0.4016 0.7500 (multiplicity 6)  7 Sc 2.92-3.27
N 0.0000 0.0000 0.0000 (multiplicity 2)  6 Sc 2.30

Mg3ScCd2 | PBE | relaxed

Computed properties:
Volume, Å³/cell: 264.8
Density of states at the Fermi level, states/eV/atom: 0.775
Distance to the lowest polymorph of the same formula, kcal/mol of atoms: 0.00
Calculated formation energy, meV/atom: -142.5

a = 4.8757 Å, b = 4.8757 Å, c = 12.8640 Å
α = 90.00°, β = 90.00°, γ = 120.00°
Closest atoms and distances in Å follow each position.
Space group P6_3/mmc (No. 194)
One atom of each set of equivalent atoms:
Mg 0.0000 0.0000 0.0000 (multiplicity 2)  6 Mg 3.19, 2 Sc 3.22, 6 Cd 3.30
Mg 0.3333 0.6667 0.1161 (multiplicity 4)  3 Cd 2.82
Sc 0.0000 0.0000 0.2500 (multiplicity 2)  6 Cd 3.19, 8 Mg 3.22-3.30
Cd 0.3333 0.6667 0.6338 (multiplicity 4)  3 Mg 2.82, 1 Cd 2.99

SrTe3N | PBE | relaxed

Computed properties:
Volume, Å³/cell: 121.8
Density of states at the Fermi level, states/eV/atom: 0.564
Distance to the lowest polymorph of the same formula, kcal/mol of atoms: 0.00

a = 4.9564 Å, b = 4.9564 Å, c = 4.9564 Å
α = 90.00°, β = 90.00°, γ = 90.00°
Closest atoms and distances in Å follow each position.
Space group Pm-3m (No. 221)
One atom of each set of equivalent atoms:
Sr 0.0000 0.0000 0.0000 (multiplicity 1)  12 Te 3.50
Te 0.0000 0.5000 0.5000 (multiplicity 3)  2 N 2.48
N 0.5000 0.5000 0.5000 (multiplicity 1)  6 Te 2.48

HfFeW3 | PBE | relaxed

Computed properties:
Volume, Å³/cell: 91.4
Density of states at the Fermi level, states/eV/atom: 0.827
Distance to the lowest polymorph of the same formula, kcal/mol of atoms: 0.00
Calculated formation energy, meV/atom: 1010.6

a = 4.5046 Å, b = 4.5046 Å, c = 4.5046 Å
α = 90.00°, β = 90.00°, γ = 90.00°
Closest atoms and distances in Å follow each position.
Space group Pm-3m (No. 221)
One atom of each set of equivalent atoms:
Hf 0.0000 0.0000 0.0000 (multiplicity 1)  12 W 3.19
Fe 0.5000 0.5000 0.5000 (multiplicity 1)  6 W 2.25
W 0.0000 0.5000 0.5000 (multiplicity 3)  2 Fe 2.25

Ba3TlIn2Hg6 | PBE | relaxed

Computed properties:
Volume, Å³/cell: 395.1
Density of states at the Fermi level, states/eV/atom: 0.628
Calculated formation energy, meV/atom: -293.2

a = 6.6472 Å, b = 6.6472 Å, c = 10.3240 Å
α = 90.00°, β = 90.00°, γ = 120.00°
Closest atoms and distances in Å follow each position.
Space group P-3m1 (No. 164)
One atom of each set of equivalent atoms:
Ba 0.0000 0.0000 0.0000 (multiplicity 1)  6 Hg 3.40
Ba 0.3333 0.6667 0.6180 (multiplicity 2)  6 Hg 3.55, 1 In 3.86
Tl 0.0000 0.0000 0.5000 (multiplicity 1)  6 Hg 3.20
In 0.3333 0.6667 0.9915 (multiplicity 2)  3 Hg 3.31
Hg 0.1784 0.3569 0.2619 (multiplicity 6)  2 Hg 3.09, 1 Tl 3.20, 1 In 3.31, 1 Ba 3.40

LiTcP2 | PBE | relaxed

Computed properties:
Volume, Å³/cell: 103.2
Density of states at the Fermi level, states/eV/atom: 0.385
Distance to the lowest polymorph of the same formula, kcal/mol of atoms: 7.06
Calculated formation energy, meV/atom: -126.5

a = 5.2428 Å, b = 6.5600 Å, c = 3.0010 Å
α = 90.00°, β = 90.00°, γ = 90.00°
Closest atoms and distances in Å follow each position.
Space group Cmmm (No. 65)
One atom of each set of equivalent atoms:
Li 0.0000 0.0000 0.0000 (multiplicity 2)  8 P 2.58, 2 Tc 2.62
Tc 0.0000 0.5000 0.0000 (multiplicity 2)  8 P 2.58, 2 Li 2.62
P 0.2500 0.2500 0.5000 (multiplicity 4)  4 Li 2.58, 4 Tc 2.58, 2 P 2.62

MnV2Ge3 | PBE | relaxed

Computed properties:
Volume, Å³/cell: 348.2
Density of states at the Fermi level, states/eV/atom: 0.613
Calculated formation energy, meV/atom: -34.4

a = 4.5771 Å, b = 9.9260 Å, c = 7.6641 Å
α = 90.00°, β = 90.00°, γ = 90.00°
Closest atoms and distances in Å follow each position.
Space group Cmcm (No. 63)
One atom of each set of equivalent atoms:
Mn 0.0000 0.1638 0.2500 (multiplicity 4)  4 Ge 2.51, 2 V 2.81
V 0.0000 0.1644 0.7500 (multiplicity 4)  4 Ge 2.52-2.55, 2 V 2.81
V 0.0000 0.4992 0.2500 (multiplicity 4)  4 Ge 2.52-2.57, 2 V 2.81, 2 Mn 2.81
Ge 0.0000 0.0000 0.0000 (multiplicity 4)  2 Mn 2.51, 2 V 2.52
Ge 0.0000 0.3308 0.0036 (multiplicity 8)  1 Mn 2.51, 3 V 2.52-2.57, 2 Ge 2.80

MgTi3S6 | PBE | relaxed

Computed properties:
Volume, Å³/cell: 363.9
Density of states at the Fermi level, states/eV/atom: 0.577
Electronic total energy, eV/atom: -6.28

a = 10.3991 Å, b = 3.4292 Å, c = 11.3915 Å
α = 90.00°, β = 116.40°, γ = 90.00°
Closest atoms and distances in Å follow each position.
Space group P2_1/m (No. 11)
One atom of each set of equivalent atoms:
Mg 0.1940 0.2500 0.0672 (multiplicity 2)  7 S 2.56-2.77
Ti 0.0301 0.7500 0.2808 (multiplicity 2)  6 S 2.37-2.52
Ti 0.3503 0.2500 0.4360 (multiplicity 2)  6 S 2.45-2.51
Ti 0.4068 0.7500 0.8511 (multiplicity 2)  5 S 2.39-2.48
S 0.0381 0.7500 0.8957 (multiplicity 2)  2 Ti 2.49, 3 Mg 2.56-2.63
S 0.1116 0.2500 0.4410 (multiplicity 2)  3 Ti 2.37-2.51
S 0.2297 0.2500 0.7626 (multiplicity 2)  3 Ti 2.39-2.52
S 0.2538 0.7500 0.2630 (multiplicity 2)  3 Ti 2.42-2.46, 2 Mg 2.66
S 0.4006 0.7500 0.0625 (multiplicity 2)  3 Ti 2.44-2.48
S 0.4368 0.7500 0.6073 (multiplicity 2)  3 Ti 2.45-2.47

Na2LiGaSb2 | PBE | relaxed

Computed properties:
Volume, Å³/cell: 623.9
Density of states at the Fermi level, states/eV/atom: 0.112
Electronic total energy, eV/atom: -3.06

a = 6.1476 Å, b = 14.9875 Å, c = 6.7718 Å
α = 90.00°, β = 90.00°, γ = 90.00°
Closest atoms and distances in Å follow each position.
Space group Ibam (No. 72)
One atom of each set of equivalent atoms:
Na 0.2373 0.1740 0.0000 (multiplicity 8)  5 Sb 3.20-3.52, 2 Li 3.43, 2 Ga 3.50
Li 0.0000 0.0000 0.2500 (multiplicity 4)  4 Sb 2.88, 2 Ga 3.07
Ga 0.0000 0.5000 0.2500 (multiplicity 4)  4 Sb 2.76, 2 Li 3.07
Sb 0.2332 0.3900 0.0000 (multiplicity 8)  2 Ga 2.76, 2 Li 2.88

What is the formula in the ninth record?
LiTcP2